Record 1
# GGA-PBE ZrCuNi2, optimized geometry
data_ZrCuNi2
_cell_length_a 4.2890
_cell_length_b 4.2890
_cell_length_c 4.2890
_cell_angle_alpha 60.00
_cell_angle_beta 60.00
_cell_angle_gamma 60.00
_space_group_name_H-M_alt 'P 1'
_space_group_IT_number 1
loop_
_space_group_symop_operation_xyz
'x,y,z'
loop_
_atom_site_label
_atom_site_type_symbol
_atom_site_fract_x
_atom_site_fract_y
_atom_site_fract_z
Cu1 Cu 0.2500 0.2500 0.2500
Ni1 Ni 0.0000 0.0000 0.0000
Ni2 Ni 0.7500 0.7500 0.7500
Zr1 Zr 0.5000 0.5000 0.5000
# Magnetization (μB per atom): 0.00
# Energy of formation from the pure elements (eV/atom): -0.17
# Calculated density (g/cm³): 8.10

---

Record 2
# GGA-PBE PrBi2, optimized geometry
data_PrBi2
_cell_length_a 6.3573
_cell_length_b 6.3573
_cell_length_c 6.3573
_cell_angle_alpha 109.02
_cell_angle_beta 110.37
_cell_angle_gamma 109.02
_space_group_name_H-M_alt 'P 1'
_space_group_IT_number 1
loop_
_space_group_symop_operation_xyz
'x,y,z'
loop_
_atom_site_label
_atom_site_type_symbol
_atom_site_fract_x
_atom_site_fract_y
_atom_site_fract_z
Bi1 Bi 0.3537 0.5000 0.1463
Bi2 Bi 0.8537 0.2073 0.3537
Bi3 Bi 0.1463 0.7927 0.6463
Bi4 Bi 0.6463 0.5000 0.8537
Pr1 Pr 0.2500 0.0000 0.2500
Pr2 Pr 0.7500 0.0000 0.7500
# Magnetization (μB per atom): 0.00
# Energy (eV/f.u.): -14.17
# Calculated density (g/cm³): 9.39

---

Record 3
# GGA-PBE ZrScHg2, optimized geometry
data_ZrScHg2
_cell_length_a 6.1181
_cell_length_b 6.1181
_cell_length_c 5.0151
_cell_angle_alpha 90.00
_cell_angle_beta 90.00
_cell_angle_gamma 113.21
_space_group_name_H-M_alt 'P 1'
_space_group_IT_number 1
loop_
_space_group_symop_operation_xyz
'x,y,z'
loop_
_atom_site_label
_atom_site_type_symbol
_atom_site_fract_x
_atom_site_fract_y
_atom_site_fract_z
Hg1 Hg 0.1450 0.3579 0.2500
Hg2 Hg 0.6421 0.8550 0.2500
Hg3 Hg 0.3579 0.1450 0.7500
Hg4 Hg 0.8550 0.6421 0.7500
Sc1 Sc 0.6400 0.3600 0.2500
Sc2 Sc 0.3600 0.6400 0.7500
Zr1 Zr 0.1422 0.8578 0.2500
Zr2 Zr 0.8578 0.1422 0.7500
# Magnetization (μB per atom): 0.23
# Energy of formation from the pure elements (eV/atom): -0.26
# Calculated density (g/cm³): 10.34
# E above lowest polymorph (eV/atom): 0.000

---

Record 4
# GGA-PBE YLu3Te2C2, optimized geometry
data_YLu3Te2C2
_cell_length_a 3.7668
_cell_length_b 3.7668
_cell_length_c 13.7832
_cell_angle_alpha 90.00
_cell_angle_beta 90.00
_cell_angle_gamma 120.00
_space_group_name_H-M_alt 'P 1'
_space_group_IT_number 1
loop_
_space_group_symop_operation_xyz
'x,y,z'
loop_
_atom_site_label
_atom_site_type_symbol
_atom_site_fract_x
_atom_site_fract_y
_atom_site_fract_z
C1 C 0.3333 0.6667 0.0040
C2 C 0.3333 0.6667 0.4991
Lu1 Lu 0.6667 0.3333 0.0943
Lu2 Lu 0.6667 0.3333 0.4081
Lu3 Lu 0.0000 0.0000 0.5896
Te1 Te 0.0000 0.0000 0.2516
Te2 Te 0.6667 0.3333 0.7458
Y1 Y 0.0000 0.0000 0.9076
# Magnetization (μB per atom): 0.00
# Energy (eV/f.u.): -51.85
# Calculated density (g/cm³): 8.76